(1)
First-principles (PBE) data for TlAgSnI4 after structural relaxation, as listed in Alexandria.

Fermi-level density of states (states/eV per atom): 0.0000
Size of the total moment (μB/f.u.): 0.000
E_form (uncorrected) (eV/f.u.): -3.02
Calculated total energy (eV/atom): -2.635

abc: 7.5508 8.6392 9.2775
angles: 90.00 107.22 90.00
Element x y z (fractional)
Tl  0.1936  0.2500  0.0468
Tl  0.8064  0.7500  0.9532
Ag  0.2127  0.7500  0.3146
Ag  0.7873  0.2500  0.6854
Sn  0.2106  0.2500  0.5561
Sn  0.7894  0.7500  0.4439
I  0.0225  0.5134  0.7321
I  0.0225  0.9866  0.7321
I  0.4724  0.7500  0.1434
I  0.4878  0.7500  0.6044
I  0.5122  0.2500  0.3956
I  0.5276  0.2500  0.8566
I  0.9775  0.0134  0.2679
I  0.9775  0.4866  0.2679



(2)
First-principles (PBE) data for Tl2AgSnI6 after structural relaxation, as listed in Alexandria.

Fermi-level density of states (states/eV per atom): 0.2981
Size of the total moment (μB/f.u.): 0.000
E_form (uncorrected) (eV/f.u.): -4.48
Calculated total energy (eV/atom): -2.537

abc: 8.0032 8.5481 14.0551
angles: 90.00 124.58 90.00
Element x y z (fractional)
Tl  0.2129  0.0940  0.2487
Tl  0.2129  0.4060  0.7487
Tl  0.7871  0.5940  0.2513
Tl  0.7871  0.9060  0.7513
Ag  0.0000  0.0000  0.5000
Ag  0.0000  0.5000  0.0000
Sn  0.5000  0.0000  0.0000
Sn  0.5000  0.5000  0.5000
I  0.1398  0.1975  0.9512
I  0.1398  0.3025  0.4512
I  0.2641  0.6936  0.9548
I  0.2641  0.8064  0.4548
I  0.3471  0.0139  0.7455
I  0.3471  0.4861  0.2455
I  0.6529  0.5139  0.7545
I  0.6529  0.9861  0.2545
I  0.7359  0.1936  0.5452
I  0.7359  0.3064  0.0452
I  0.8602  0.6975  0.5488
I  0.8602  0.8025  0.0488



Q: Among the records above, which one has the highest Fermi-level density of states?
A: Tl2AgSnI6



Q: Number 1 is which compound?
A: TlAgSnI4



Q: Fermi-level density of states of number 1 (TlAgSnI4)?
A: 0.0000 states/eV per atom